#A
# Ce2Ge3Au5 | Alexandria | GGA-PBE | optimized geometry
data_Ce2Ge3Au5
_symmetry_space_group_name_H-M 'C 1 2/c 1'
_symmetry_Int_Tables_number 15
_cell_length_a 12.3628
_cell_length_b 12.5950
_cell_length_c 6.2636
_cell_angle_alpha 90.00
_cell_angle_beta 119.22
_cell_angle_gamma 90.00
loop_
_symmetry_equiv_pos_as_xyz
'x,y,z'
'-x,-y,-z'
'-x,y,-z+1/2'
'x,-y,z+1/2'
'x+1/2,y+1/2,z'
'-x+1/2,-y+1/2,-z'
'-x+1/2,y+1/2,-z+1/2'
'x+1/2,-y+1/2,z+1/2'
loop_
_atom_site_label
_atom_site_type_symbol
_atom_site_fract_x
_atom_site_fract_y
_atom_site_fract_z
_atom_site_occupancy
Ce1 Ce 0.2404 0.1303 0.2345 1
Ge1 Ge 0.0000 0.4834 0.7500 1
Ge2 Ge 0.1288 0.1296 0.6466 1
Au1 Au 0.0000 0.0066 0.2500 1
Au2 Au 0.0000 0.2404 0.2500 1
Au3 Au 0.0000 0.2657 0.7500 1
Au4 Au 0.1444 0.3923 0.1785 1
# crystal system: monoclinic

=====

#B
# Ce2Ge3Au5 | Alexandria | GGA-PBE | optimized geometry
data_Ce2Ge3Au5
_symmetry_space_group_name_H-M 'P -4 m 2'
_symmetry_Int_Tables_number 115
_cell_length_a 4.4382
_cell_length_b 4.4382
_cell_length_c 11.1272
_cell_angle_alpha 90.00
_cell_angle_beta 90.00
_cell_angle_gamma 90.00
loop_
_symmetry_equiv_pos_as_xyz
'x,y,z'
'y,-x,-z'
'-x,-y,z'
'-y,x,-z'
'-x,y,z'
'-y,-x,-z'
'x,-y,z'
'y,x,-z'
loop_
_atom_site_label
_atom_site_type_symbol
_atom_site_fract_x
_atom_site_fract_y
_atom_site_fract_z
_atom_site_occupancy
Ce1 Ce 0.0000 0.5000 0.2409 1
Ge1 Ge 0.0000 0.5000 0.6275 1
Ge2 Ge 0.5000 0.5000 0.5000 1
Au1 Au 0.0000 0.0000 0.0000 1
Au2 Au 0.0000 0.0000 0.5000 1
Au3 Au 0.0000 0.5000 0.8472 1
Au4 Au 0.5000 0.5000 0.0000 1
# crystal system: tetragonal

=====

It turns out #A is the most stable, with the second structure 0.129 eV/atom higher.

=====

#A
# Ce6Ge5Au | Alexandria | GGA-PBE | optimized geometry
data_Ce6Ge5Au
_symmetry_space_group_name_H-M 'C 1 2/m 1'
_symmetry_Int_Tables_number 12
_cell_length_a 7.3968
_cell_length_b 12.7983
_cell_length_c 7.3796
_cell_angle_alpha 90.00
_cell_angle_beta 109.44
_cell_angle_gamma 90.00
loop_
_symmetry_equiv_pos_as_xyz
'x,y,z'
'-x,-y,-z'
'-x,y,-z'
'x,-y,z'
'x+1/2,y+1/2,z'
'-x+1/2,-y+1/2,-z'
'-x+1/2,y+1/2,-z'
'x+1/2,-y+1/2,z'
loop_
_atom_site_label
_atom_site_type_symbol
_atom_site_fract_x
_atom_site_fract_y
_atom_site_fract_z
_atom_site_occupancy
Ce1 Ce 0.2437 0.0000 0.2527 1
Ce2 Ce 0.2442 0.1702 0.7443 1
Ge1 Ge 0.0000 0.0000 0.5000 1
Ge2 Ge 0.0000 0.1675 0.0000 1
Ge3 Ge 0.0000 0.3369 0.5000 1
Au1 Au 0.0000 0.5000 0.0000 1
# crystal system: monoclinic

=====

#B
# Ce6Ge5Au | Alexandria | GGA-PBE | optimized geometry
data_Ce6Ge5Au
_symmetry_space_group_name_H-M 'P 63/m c m'
_symmetry_Int_Tables_number 193
_symmetry_space_group_name_Hall '-P 6c 2'
_cell_length_a 7.4499
_cell_length_b 7.4499
_cell_length_c 14.3227
_cell_angle_alpha 90.00
_cell_angle_beta 90.00
_cell_angle_gamma 120.00
loop_
_atom_site_label
_atom_site_type_symbol
_atom_site_fract_x
_atom_site_fract_y
_atom_site_fract_z
_atom_site_occupancy
Ce1 Ce 0.0000 0.3451 0.1208 1
Ge1 Ge 0.0000 0.3452 0.7500 1
Ge2 Ge 0.3333 0.6667 0.0000 1
Au1 Au 0.0000 0.0000 0.2500 1
# crystal system: hexagonal

=====

It turns out #A is the most stable, with the second structure 0.099 eV/atom higher.